# 1
Compound: LaTiCd2F
Source: Alexandria via LeMat-Bulk
Functional: PBE
Structure: relaxed

extended XYZ file:
```
5
Lattice="-5.0310 0.0182 1.7801 1.6098 -2.3671 4.5740 0.7963 4.7957 2.2016" Properties=species:S:1:pos:R:3 pbc="T T T"
F -1.3124 1.2234 4.2778
Cd 0.3981 2.3979 1.1008
Cd -2.5155 0.0091 0.8900
Ti 0.0000 0.0000 0.0000
La 0.8049 -1.1835 2.2870
```

**Formation energy without anion corrections**: 71 meV/atom
**Total magnetic moment**: 1.72 Bohr magnetons per cell

***

# 2
Compound: LaTl2Cd3F12
Source: Alexandria via LeMat-Bulk
Functional: PBE
Structure: relaxed

extended XYZ file:
```
18
Lattice="7.3237 -0.3729 -0.2645 3.2926 6.5525 -0.2645 3.2926 1.9166 6.2715" Properties=species:S:1:pos:R:3 pbc="T T T"
La 0.0000 0.0000 0.0000
Tl 8.6290 5.0228 3.5626
Tl 5.2801 3.0734 2.1800
Cd 3.6619 -0.1864 -0.1322
Cd 1.6463 3.2762 -0.1322
Cd 1.6463 0.9583 3.1357
F 5.3747 3.1285 5.4025
F 10.3467 6.0226 2.2508
F 8.6881 6.9646 4.9399
F 7.9872 1.6448 1.1666
F 10.3467 4.1153 4.9399
F 5.3747 6.1330 1.1666
F 8.5343 4.9677 0.3401
F 3.5623 2.0736 3.4917
F 5.2209 1.1316 0.8027
F 5.9218 6.4514 4.5759
F 3.5623 3.9809 0.8027
F 8.5343 1.9632 4.5759
```

**Formation energy without anion corrections**: -2404 meV/atom
**Total magnetic moment**: 0.00 Bohr magnetons per cell

***

# 3
Compound: LaYCdF2
Source: Alexandria via LeMat-Bulk
Functional: PBE
Structure: relaxed

extended XYZ file:
```
5
Lattice="4.7306 0.0000 0.0000 0.0000 6.0277 0.0000 0.0000 0.0000 4.7306" Properties=species:S:1:pos:R:3 pbc="T T T"
Y 0.0000 3.0138 0.0000
F 0.0000 0.0000 2.3653
F 2.3653 0.0000 0.0000
Cd 0.0000 0.0000 0.0000
La 2.3653 3.0138 2.3653
```

**Formation energy without anion corrections**: -687 meV/atom
**Total magnetic moment**: 0.00 Bohr magnetons per cell

***

# 4
Compound: Li3Cd2F7
Source: Alexandria via LeMat-Bulk
Functional: PBE
Structure: relaxed

extended XYZ file:
```
24
Lattice="-3.2934 -0.2684 -4.3316 4.4033 -0.4982 -3.3171 -2.6211 -9.6761 2.5924" Properties=species:S:1:pos:R:3 pbc="T T T"
Li 0.7331 -0.5634 -5.6589
Li 0.3795 -0.2029 -1.9862
Li -3.5954 -4.3606 -2.2777
Li 1.9474 -6.0933 -2.9585
Li -1.4537 -6.0290 -3.8027
Li -0.1943 -4.4248 -1.4335
Cd -3.9056 -7.9134 -1.7439
Cd 2.3324 -2.5344 -3.3940
Cd -0.1117 -8.0221 -1.1956
Cd -1.4615 -2.4257 -3.9423
F -1.7041 -4.4069 -2.7412
F 0.9901 -5.9708 -1.2666
F -1.1451 -4.1496 0.2441
F 0.4312 -6.2281 -4.2518
F 1.2294 -3.1263 -1.5124
F -1.8354 -7.2426 -2.3533
F 0.5405 -3.3689 -4.3998
F -1.1465 -7.0001 0.5341
F 0.9083 -2.0703 -6.8027
F -3.4779 -8.4587 0.3543
F -1.2128 -0.4432 -5.2554
F 1.2982 -0.4068 -3.7407
F -1.5964 -8.9921 -4.4694
F -0.9732 -1.5369 -1.9790
```

**Formation energy without anion corrections**: -2532 meV/atom
**Total magnetic moment**: 0.00 Bohr magnetons per cell

***

# 5
Compound: LiCd2F5
Source: Alexandria via LeMat-Bulk
Functional: PBE
Structure: relaxed

extended XYZ file:
```
32
Lattice="3.6308 0.0000 0.0000 0.0000 10.5512 0.0000 0.0000 0.0000 11.8977" Properties=species:S:1:pos:R:3 pbc="T T T"
Li 2.7231 8.6920 10.3416
Li 0.9077 1.8592 1.5561
Li 0.9077 7.1348 4.3927
Li 2.7231 3.4164 7.5050
Cd 0.9077 6.8345 0.5428
Cd 2.7231 3.7167 11.3549
Cd 2.7231 8.9924 6.4917
Cd 0.9077 1.5589 5.4060
Cd 0.9077 1.2011 9.3259
Cd 2.7231 9.3502 2.5718
Cd 2.7231 4.0745 3.3770
Cd 0.9077 6.4767 8.5207
F 0.9077 7.8181 10.4012
F 2.7231 2.7331 1.4965
F 2.7231 8.0087 4.4524
F 0.9077 2.5425 7.4454
F 0.9077 5.3291 3.8069
F 2.7231 5.2221 8.0909
F 2.7231 10.4977 9.7557
F 0.9077 0.0535 2.1420
F 0.9077 7.4870 6.3939
F 2.7231 3.0642 5.5039
F 2.7231 8.3399 0.4450
F 0.9077 2.2114 11.4527
F 2.7231 7.9504 8.4874
F 0.9077 2.6008 3.4103
F 0.9077 7.8764 2.5385
F 2.7231 2.6748 9.3592
F 0.9077 10.3470 7.0664
F 2.7231 0.2043 4.8313
F 2.7231 5.4799 1.1176
F 0.9077 5.0713 10.7802
```

**Formation energy without anion corrections**: -2364 meV/atom
**Total magnetic moment**: 0.00 Bohr magnetons per cell

***

# 6
Compound: LiCd2F2
Source: Alexandria via LeMat-Bulk
Functional: PBE
Structure: relaxed

extended XYZ file:
```
10
Lattice="-5.9155 4.7211 2.3171 0.9220 -2.5023 7.4525 1.9309 2.1778 0.4924" Properties=species:S:1:pos:R:3 pbc="T T T"
F 0.8284 0.1035 5.1425
F -1.8893 1.8123 8.2421
F -3.8910 4.2931 5.1194
F -1.1734 2.5843 2.0198
Li 0.0000 0.0000 0.0000
Li -2.4968 1.1094 4.8848
Cd -1.3302 -0.4553 7.2306
Cd -4.4885 2.4493 6.7689
Cd -3.6633 2.6740 2.5389
Cd -0.5051 -0.2305 3.0006
```

**Formation energy without anion corrections**: -986 meV/atom
**Total magnetic moment**: 0.00 Bohr magnetons per cell

***

# 7
Compound: LiCd2F6
Source: Alexandria via LeMat-Bulk
Functional: PBE
Structure: relaxed

extended XYZ file:
```
18
Lattice="5.3960 0.0000 -0.0609 0.0000 5.5992 0.0000 -0.7513 0.0000 8.0671" Properties=species:S:1:pos:R:3 pbc="T T T"
Li 2.6980 2.7996 -0.0304
Li -0.3757 0.0000 4.0335
Cd 4.6334 2.2478 6.2897
Cd 2.3336 5.0474 5.7196
Cd 2.3111 0.5518 2.2866
Cd 0.0113 3.3513 1.7165
F 4.2699 5.1114 2.2359
F 4.0144 3.8945 4.8592
F 3.6025 3.7618 7.5791
F 3.3646 0.9622 4.4302
F 2.9527 1.0949 7.1501
F 3.4485 2.3119 1.7063
F 0.3748 0.4877 5.7703
F 0.6303 1.7046 3.1470
F 1.0422 1.8374 0.4271
F 1.2801 4.6369 3.5760
F 1.6921 4.5042 0.8561
F 1.1962 3.2873 6.2998
```

**Formation energy without anion corrections**: -2045 meV/atom
**Total magnetic moment**: 2.18 Bohr magnetons per cell

***

# 8
Compound: LiCd3F7
Source: Alexandria via LeMat-Bulk
Functional: PBE
Structure: relaxed

extended XYZ file:
```
22
Lattice="6.5340 0.1115 0.0000 -2.1583 6.1682 0.0000 0.0000 0.0000 7.4553" Properties=species:S:1:pos:R:3 pbc="T T T"
Li 4.3586 6.2553 3.7276
Li 0.0170 0.0244 0.0000
Cd 2.1828 3.1327 3.7276
Cd 2.1928 3.1471 0.0000
Cd 3.5651 0.0773 1.8643
Cd 0.8105 6.2024 5.5919
Cd -1.1622 3.3713 5.5910
Cd 5.5379 2.9084 1.8634
F 2.3028 5.5970 3.9279
F 2.0728 0.6827 0.2002
F 4.4530 4.0988 3.5274
F -0.0774 2.1809 7.2550
F -0.0788 2.1854 3.9254
F 4.4544 4.0943 0.1978
F 2.0774 0.6830 3.5298
F 2.2982 5.5968 7.2575
F 0.9989 3.9683 1.8638
F 3.3767 2.3114 5.5914
F 3.2900 2.3718 1.8638
F 1.0856 3.9079 5.5914
F 5.8024 0.6213 1.8638
F -1.4267 5.6584 5.5914
```

**Formation energy without anion corrections**: -2294 meV/atom
**Total magnetic moment**: 0.00 Bohr magnetons per cell

***

> Among the records above, which one has the highest total magnetic moment?

LiCd2F6

***

> Which formula does entry 1 have?

LaTiCd2F

***

> Which value of total magnetic moment does entry 2 give?

0.00 Bohr magnetons per cell

***

> Number 5 is which compound?

LiCd2F5